Computed, not measured: a relaxed structure of Ba2InHg at the PBEsol level of DFT.

a = 4.138 Å, b = 4.138 Å, c = 9.006 Å
α = 90.00°, β = 90.00°, γ = 90.00°
Fractional positions:
Hg1 0.000 0.000 0.534
Ba1 0.500 0.500 0.329
Ba2 0.000 0.000 0.929
In1 0.500 0.500 0.707

total moment	0.00	μB per cell
space group	No. 99
raw total energy	-9.01	eV/cell

---

Computed, not measured: a relaxed structure of KAl2CuBi at the PBEsol level of DFT.

a = 4.724 Å, b = 4.724 Å, c = 5.370 Å
α = 90.00°, β = 90.00°, γ = 90.00°
Fractional positions:
Cu1 0.000 0.000 0.000
Al1 0.000 0.500 0.000
Al2 0.500 0.000 0.000
Bi1 0.500 0.500 0.500
K1 0.000 0.000 0.500

total moment	0.00	μB per cell
space group	No. 123
raw total energy	-16.57	eV/cell

---

Computed, not measured: a relaxed structure of Cs3Bi2I9 at the PBEsol level of DFT.

a = 8.330 Å, b = 8.330 Å, c = 21.236 Å
α = 90.00°, β = 90.00°, γ = 120.00°
Fractional positions:
I1 0.839 0.678 0.081
I2 0.839 0.161 0.419
I3 0.494 0.987 0.250
I4 0.678 0.839 0.919
I5 0.322 0.161 0.419
I6 0.013 0.506 0.250
I7 0.839 0.161 0.081
I8 0.987 0.494 0.750
I9 0.161 0.839 0.581
I10 0.161 0.322 0.581
I11 0.839 0.678 0.419
I12 0.161 0.322 0.919
I13 0.678 0.839 0.581
I14 0.494 0.506 0.250
I15 0.506 0.494 0.750
I16 0.322 0.161 0.081
I17 0.161 0.839 0.919
I18 0.506 0.013 0.750
Bi1 0.333 0.667 0.656
Bi2 0.667 0.333 0.344
Bi3 0.667 0.333 0.156
Bi4 0.333 0.667 0.844
Cs1 0.000 0.000 0.750
Cs2 0.667 0.333 0.570
Cs3 0.667 0.333 0.930
Cs4 0.333 0.667 0.070
Cs5 0.333 0.667 0.430
Cs6 0.000 0.000 0.250

total moment	0.00	μB per cell
space group	No. 194
formation energy (no corrections)	-950	meV/atom

---

Computed, not measured: a relaxed structure of MgRu2Br at the PBEsol level of DFT.

a = 4.387 Å, b = 4.387 Å, c = 4.387 Å
α = 60.00°, β = 60.00°, γ = 60.00°
Fractional positions:
Ru1 0.250 0.250 0.250
Ru2 0.750 0.750 0.750
Mg1 0.500 0.500 0.500
Br1 0.000 0.000 0.000

total moment	0.00	μB per cell
space group	No. 225
formation energy (no corrections)	772	meV/atom

---

Computed, not measured: a relaxed structure of BaNaHf3 at the PBEsol level of DFT.

a = 5.330 Å, b = 5.330 Å, c = 5.330 Å
α = 90.00°, β = 90.00°, γ = 90.00°
Fractional positions:
Hf1 0.000 0.500 0.000
Hf2 0.000 0.000 0.500
Hf3 0.500 0.000 0.000
Na1 0.500 0.500 0.500
Ba1 0.000 0.000 0.000

total moment	0.00	μB per cell
space group	No. 221
raw total energy	-25.40	eV/cell

---

Computed, not measured: a relaxed structure of Mn3HgBi at the PBEsol level of DFT.

a = 5.085 Å, b = 5.085 Å, c = 5.085 Å
α = 90.00°, β = 90.00°, γ = 90.00°
Each line ends with the local moment (μB).
Fractional positions:
Mn1 0.000 0.500 0.000  3.91
Mn2 0.000 0.000 0.500  3.91
Mn3 0.500 0.000 0.000  3.91
Bi1 0.000 0.000 0.000  -0.09
Hg1 0.500 0.500 0.500  0.03

total moment	12.14	μB per cell
space group	No. 221
raw total energy	-27.37	eV/cell

---

Computed, not measured: a relaxed structure of ZrCdHg2 at the PBEsol level of DFT.

a = 3.180 Å, b = 3.180 Å, c = 8.197 Å
α = 90.00°, β = 90.00°, γ = 90.00°
Fractional positions:
Zr1 0.000 0.000 0.498
Hg1 0.000 0.000 0.997
Hg2 0.500 0.500 0.253
Cd1 0.500 0.500 0.753

total moment	0.00	μB per cell
space group	No. 99
raw total energy	-11.88	eV/cell

---

Computed, not measured: a relaxed structure of CaCrHg at the PBEsol level of DFT.

a = 3.511 Å, b = 3.511 Å, c = 6.829 Å
α = 90.00°, β = 90.00°, γ = 120.00°
Each line ends with the local moment (μB).
Fractional positions:
Cr1 0.333 0.667 0.640  3.76
Hg1 0.667 0.333 0.356  0.01
Ca1 0.000 0.000 0.004  0.00

total moment	4.19	μB per cell
space group	No. 156
raw total energy	-11.46	eV/cell